1.
Entry from Alexandria: Er3Te2As after structural relaxation (PBE). Values from VASP.

Summary:
VASP energy: -0.201 Ha/atom
Total magnetization: 0.00 μB/atom

```
&SYSTEM
  ibrav = 0, nat = 6, ntyp = 3
/
ATOMIC_SPECIES
Er 167.26 Er.upf
Te 127.60 Te.upf
As 74.92 As.upf
CELL_PARAMETERS angstrom
-0.410 -3.134 2.750
4.298 -3.027 -2.810
2.519 5.860 3.862
ATOMIC_POSITIONS angstrom
Er 1.055 1.363 3.306
Er 4.688 2.213 1.625
Er 1.719 -2.514 2.177
Te 2.814 3.898 3.266
As 3.204 -0.151 1.901
Te 3.593 -4.200 0.536
```



2.
Entry from Alexandria: ErTh2Te2As2 after structural relaxation (PBE). Values from VASP.

Summary:
VASP energy: -0.219 Ha/atom
Total magnetization: 0.13 μB/atom

```
&SYSTEM
  ibrav = 0, nat = 7, ntyp = 4
/
ATOMIC_SPECIES
Th 232.04 Th.upf
Te 127.60 Te.upf
As 74.92 As.upf
Er 167.26 Er.upf
CELL_PARAMETERS angstrom
5.231 0.000 0.000
0.000 5.231 0.000
-2.616 -2.616 7.943
ATOMIC_POSITIONS angstrom
Th 0.000 0.000 6.202
Te 0.000 0.000 3.014
As 2.616 0.000 0.000
Er 0.000 0.000 0.000
As 0.000 2.616 0.000
Te 2.616 2.616 4.929
Th 2.616 2.616 1.741
```



3.
Entry from Alexandria: Er4TlTe2As after structural relaxation (PBE). Values from VASP.

Summary:
VASP energy: -0.185 Ha/atom
Total magnetization: 0.00 μB/atom

```
&SYSTEM
  ibrav = 0, nat = 8, ntyp = 4
/
ATOMIC_SPECIES
Er 167.26 Er.upf
Te 127.60 Te.upf
As 74.92 As.upf
Tl 204.38 Tl.upf
CELL_PARAMETERS angstrom
-1.253 0.958 3.884
1.364 -7.033 2.176
7.077 -0.422 2.388
ATOMIC_POSITIONS angstrom
Er 6.289 -5.484 3.383
Er 2.237 -4.716 4.148
Te 2.912 0.268 3.136
Er 4.951 -1.782 4.300
Er 0.898 -1.013 5.065
As 4.221 -3.728 2.282
Te 7.077 -0.422 2.388
Tl 0.055 -3.037 3.030
```